No. 1
# PBE PrCdH6Ru, relaxed
data_PrCdH6Ru
_chemical_formula_sum 'Pr1 Cd1 H6 Ru1'
_cell_length_a 4.8176
_cell_length_b 4.8176
_cell_length_c 4.5274
_cell_angle_alpha 90.00
_cell_angle_beta 90.00
_cell_angle_gamma 120.00
_space_group_name_H-M_alt 'P -6 m 2'
_space_group_IT_number 187
_space_group_name_Hall 'P -6 2'
loop_
_atom_site_label
_atom_site_fract_x
_atom_site_fract_y
_atom_site_fract_z
Pr1 0.0000 0.0000 0.0000
Cd1 0.6667 0.3333 0.5000
H1 0.0528 0.5264 0.2210
Ru1 0.3333 0.6667 0.5000
# VASP energy	-36.9	eV per formula unit

---

No. 2
# PBE PmHo2Bi, relaxed
data_PmHo2Bi
_chemical_formula_sum 'Pm3 Ho6 Bi3'
_cell_length_a 4.0476
_cell_length_b 4.0476
_cell_length_c 28.7747
_cell_angle_alpha 90.00
_cell_angle_beta 90.00
_cell_angle_gamma 120.00
_space_group_name_H-M_alt 'R 3 m'
_space_group_IT_number 160
_space_group_name_Hall 'R 3 -2"'
loop_
_atom_site_label
_atom_site_fract_x
_atom_site_fract_y
_atom_site_fract_z
Pm1 0.0000 0.0000 0.0000
Ho1 0.0000 0.0000 0.5690
Ho2 0.0000 0.0000 0.7633
Bi1 0.0000 0.0000 0.1657
# energy of formation	-0.6	eV per formula unit

---

No. 3
# PBE Li2ScCoB, relaxed
data_Li2ScCoB
_chemical_formula_sum 'Li2 Sc1 Co1 B1'
_cell_length_a 5.026
_cell_length_b 5.026
_cell_length_c 4.156
_cell_angle_alpha 90.00
_cell_angle_beta 90.00
_cell_angle_gamma 90.00
_space_group_name_H-M_alt 'P 4/m m m'
_space_group_IT_number 123
_space_group_name_Hall '-P 4 2'
loop_
_atom_site_label
_atom_site_fract_x
_atom_site_fract_y
_atom_site_fract_z
Li1 0.000 0.500 0.000
Sc1 0.000 0.000 0.000
Co1 0.000 0.000 0.500
B1 0.500 0.500 0.500
# energy of formation	8.7	eV per formula unit

---

No. 4
# PBE CsLiCd2Sn, relaxed
data_CsLiCd2Sn
_chemical_formula_sum 'Cs1 Li1 Cd2 Sn1'
_cell_length_a 5.941
_cell_length_b 5.941
_cell_length_c 5.455
_cell_angle_alpha 90.00
_cell_angle_beta 90.00
_cell_angle_gamma 90.00
_space_group_name_H-M_alt 'P 4/m m m'
_space_group_IT_number 123
_space_group_name_Hall '-P 4 2'
loop_
_atom_site_label
_atom_site_fract_x
_atom_site_fract_y
_atom_site_fract_z
Cs1 0.000 0.000 0.000
Li1 0.500 0.500 0.000
Cd1 0.000 0.500 0.500
Sn1 0.500 0.500 0.500
# energy of formation	-0.1	eV per formula unit

---

No. 5
# PBE Mg2ZnCu, relaxed
data_Mg2ZnCu
_chemical_formula_sum 'Mg8 Zn4 Cu4'
_cell_length_a 5.369
_cell_length_b 8.841
_cell_length_c 7.690
_cell_angle_alpha 90.00
_cell_angle_beta 90.00
_cell_angle_gamma 90.00
_space_group_name_H-M_alt 'C m m e'
_space_group_IT_number 67
_space_group_name_Hall '-C 2a 2'
loop_
_atom_site_label
_atom_site_fract_x
_atom_site_fract_y
_atom_site_fract_z
Mg1 0.000 0.250 0.100
Mg2 0.250 0.000 0.500
Zn1 0.000 0.250 0.741
Cu1 0.000 0.250 0.428
# energy of formation	0.8	eV per formula unit

---

No. 6
# PBE Pr2ErH, relaxed
data_Pr2ErH
_chemical_formula_sum 'Pr6 Er3 H3'
_cell_length_a 3.6858
_cell_length_b 3.6858
_cell_length_c 26.6317
_cell_angle_alpha 90.00
_cell_angle_beta 90.00
_cell_angle_gamma 120.00
_space_group_name_H-M_alt 'R -3 m'
_space_group_IT_number 166
_space_group_name_Hall '-R 3 2"'
loop_
_atom_site_label
_atom_site_fract_x
_atom_site_fract_y
_atom_site_fract_z
Pr1 0.0000 0.0000 0.2234
Er1 0.0000 0.0000 0.0000
H1 0.0000 0.0000 0.5000
# VASP energy	-18.0	eV per formula unit

---

No. 7
# PBE TiCo3H, relaxed
data_TiCo3H
_chemical_formula_sum 'Ti1 Co3 H1'
_cell_length_a 3.426
_cell_length_b 3.426
_cell_length_c 5.647
_cell_angle_alpha 90.00
_cell_angle_beta 90.00
_cell_angle_gamma 90.00
_space_group_name_H-M_alt 'P 4 m m'
_space_group_IT_number 99
_space_group_name_Hall 'P 4 -2'
loop_
_atom_site_label
_atom_site_fract_x
_atom_site_fract_y
_atom_site_fract_z
Ti1 0.000 0.000 0.000
Co1 0.000 0.000 0.601
Co2 0.000 0.500 0.309
H1 0.500 0.500 0.371
# VASP energy	-30.0	eV per formula unit

---

No. 8
# PBE NdEuNi2, relaxed
data_NdEuNi2
_chemical_formula_sum 'Nd4 Eu4 Ni8'
_cell_length_a 6.969
_cell_length_b 6.969
_cell_length_c 6.969
_cell_angle_alpha 90.00
_cell_angle_beta 90.00
_cell_angle_gamma 90.00
_space_group_name_H-M_alt 'F m -3 m'
_space_group_IT_number 225
_space_group_name_Hall '-F 4 2 3'
loop_
_atom_site_label
_atom_site_fract_x
_atom_site_fract_y
_atom_site_fract_z
Nd1 0.000 0.000 0.000
Eu1 0.000 0.000 0.500
Ni1 0.250 0.250 0.250
# energy of formation	-0.6	eV per formula unit

---

No. 9
# PBE Mn2RhW, relaxed
data_Mn2RhW
_chemical_formula_sum 'Mn2 Rh1 W1'
_cell_length_a 2.739
_cell_length_b 3.644
_cell_length_c 5.444
_cell_angle_alpha 90.00
_cell_angle_beta 90.00
_cell_angle_gamma 90.00
_space_group_name_H-M_alt 'P m m 2'
_space_group_IT_number 25
_space_group_name_Hall 'P 2 -2'
loop_
_atom_site_label
_atom_site_fract_x
_atom_site_fract_y
_atom_site_fract_z
Mn1 0.000 0.000 0.000
Mn2 0.500 0.500 0.210
Rh1 0.000 0.000 0.471
W1 0.500 0.500 0.732
# energy of formation	0.1	eV per formula unit

---

No. 10
# PBE La7Pm3Tm2, relaxed
data_La7Pm3Tm2
_chemical_formula_sum 'La7 Pm3 Tm2'
_cell_length_a 5.991
_cell_length_b 3.631
_cell_length_c 19.493
_cell_angle_alpha 90.00
_cell_angle_beta 93.81
_cell_angle_gamma 90.00
_space_group_name_H-M_alt 'P 1 2/m 1'
_space_group_IT_number 10
_space_group_name_Hall '-P 2y'
loop_
_atom_site_label
_atom_site_fract_x
_atom_site_fract_y
_atom_site_fract_z
La1 0.000 0.000 0.000
La2 0.176 0.500 0.185
La3 0.257 0.500 0.533
La4 0.326 0.000 0.853
Pm1 0.218 0.000 0.364
Pm2 0.500 0.500 0.000
Tm1 0.293 0.500 0.702
# energy of formation	1.1	eV per formula unit

---

No. 11
# PBE Na2BSbO6, relaxed
data_Na2BSbO6
_chemical_formula_sum 'Na2 B1 Sb1 O6'
_cell_length_a 5.7045
_cell_length_b 5.7045
_cell_length_c 4.9746
_cell_angle_alpha 90.00
_cell_angle_beta 90.00
_cell_angle_gamma 120.00
_space_group_name_H-M_alt 'P -3 m 1'
_space_group_IT_number 164
_space_group_name_Hall '-P 3 2"'
loop_
_atom_site_label
_atom_site_fract_x
_atom_site_fract_y
_atom_site_fract_z
Na1 0.3333 0.6667 0.0556
B1 0.0000 0.0000 0.0000
Sb1 0.0000 0.0000 0.5000
O1 0.1386 0.2773 0.7938
# energy relative to the elements, uncorrected	-1.069	eV/atom

---

No. 12
# PBE Ho2CuNi3Ge4, relaxed
data_Ho2CuNi3Ge4
_chemical_formula_sum 'Ho2 Cu1 Ni3 Ge4'
_cell_length_a 4.077
_cell_length_b 4.077
_cell_length_c 9.753
_cell_angle_alpha 90.00
_cell_angle_beta 90.00
_cell_angle_gamma 90.00
_space_group_name_H-M_alt 'P -4 m 2'
_space_group_IT_number 115
_space_group_name_Hall 'P -4 -2'
loop_
_atom_site_label
_atom_site_fract_x
_atom_site_fract_y
_atom_site_fract_z
Ho1 0.000 0.500 0.249
Cu1 0.500 0.500 0.000
Ni1 0.000 0.000 0.000
Ni2 0.000 0.500 0.625
Ge1 0.000 0.000 0.500
Ge2 0.000 0.500 0.864
Ge3 0.500 0.500 0.500
# energy of formation	-6.4	eV per formula unit

---

No. 13
# PBE Y3Al2Cu4, relaxed
data_Y3Al2Cu4
_chemical_formula_sum 'Y6 Al4 Cu8'
_cell_length_a 10.636
_cell_length_b 4.314
_cell_length_c 8.269
_cell_angle_alpha 90.00
_cell_angle_beta 113.26
_cell_angle_gamma 90.00
_space_group_name_H-M_alt 'C 1 2/m 1'
_space_group_IT_number 12
_space_group_name_Hall '-C 2y'
loop_
_atom_site_label
_atom_site_fract_x
_atom_site_fract_y
_atom_site_fract_z
Y1 0.000 0.000 0.000
Y2 0.138 0.500 0.695
Al1 0.162 0.500 0.332
Cu1 0.086 0.000 0.418
Cu2 0.226 0.500 0.067
# energy of formation	-3.2	eV per formula unit

---

No. 14
# PBE Pm5Sn2C, relaxed
data_Pm5Sn2C
_chemical_formula_sum 'Pm20 Sn8 C4'
_cell_length_a 5.471
_cell_length_b 10.934
_cell_length_c 15.684
_cell_angle_alpha 90.00
_cell_angle_beta 90.00
_cell_angle_gamma 90.00
_space_group_name_H-M_alt 'C m c m'
_space_group_IT_number 63
_space_group_name_Hall '-C 2c 2'
loop_
_atom_site_label
_atom_site_fract_x
_atom_site_fract_y
_atom_site_fract_z
Pm1 0.000 0.100 0.134
Pm2 0.000 0.250 0.750
Pm3 0.000 0.400 0.134
Sn1 0.000 0.250 0.553
C1 0.000 0.250 0.250
# energy of formation	-2.5	eV per formula unit

---

No. 15
# PBE CsHf6O12, relaxed
data_CsHf6O12
_chemical_formula_sum 'Cs3 Hf18 O36'
_cell_length_a 10.2337
_cell_length_b 10.2337
_cell_length_c 7.8962
_cell_angle_alpha 90.00
_cell_angle_beta 90.00
_cell_angle_gamma 120.00
_space_group_name_H-M_alt 'R -3 m'
_space_group_IT_number 166
_space_group_name_Hall '-R 3 2"'
loop_
_atom_site_label
_atom_site_fract_x
_atom_site_fract_y
_atom_site_fract_z
Cs1 0.0000 0.0000 0.0000
Hf1 0.0744 0.5372 0.2982
O1 0.0000 0.3733 0.5000
O2 0.0901 0.1801 0.3683
# energy relative to the elements, uncorrected	-3.037	eV/atom

---

No. 16
# PBE LiPrHgPd, relaxed
data_LiPrHgPd
_chemical_formula_sum 'Li4 Pr4 Hg4 Pd4'
_cell_length_a 7.123
_cell_length_b 7.123
_cell_length_c 7.123
_cell_angle_alpha 90.00
_cell_angle_beta 90.00
_cell_angle_gamma 90.00
_space_group_name_H-M_alt 'F -4 3 m'
_space_group_IT_number 216
_space_group_name_Hall 'F -4 2 3'
loop_
_atom_site_label
_atom_site_fract_x
_atom_site_fract_y
_atom_site_fract_z
Li1 0.000 0.000 0.000
Pr1 0.000 0.000 0.500
Hg1 0.250 0.250 0.250
Pd1 0.250 0.250 0.750
# energy of formation	-1.8	eV per formula unit

---

No. 17
# PBE Ca2TbPm2, relaxed
data_Ca2TbPm2
_chemical_formula_sum 'Ca4 Tb2 Pm4'
_cell_length_a 6.382
_cell_length_b 3.682
_cell_length_c 15.474
_cell_angle_alpha 90.00
_cell_angle_beta 90.06
_cell_angle_gamma 90.00
_space_group_name_H-M_alt 'C 1 2/m 1'
_space_group_IT_number 12
_space_group_name_Hall '-C 2y'
loop_
_atom_site_label
_atom_site_fract_x
_atom_site_fract_y
_atom_site_fract_z
Ca1 0.166 0.000 0.393
Tb1 0.000 0.500 0.000
Pm1 0.166 0.000 0.815
# energy of formation	0.2	eV per formula unit

---

No. 18
# PBE ZrInB2, relaxed
data_ZrInB2
_chemical_formula_sum 'Zr4 In4 B8'
_cell_length_a 4.511
_cell_length_b 4.511
_cell_length_c 13.724
_cell_angle_alpha 90.00
_cell_angle_beta 90.00
_cell_angle_gamma 90.00
_space_group_name_H-M_alt 'I -4 2 d'
_space_group_IT_number 122
_space_group_name_Hall 'I -4 2bw'
loop_
_atom_site_label
_atom_site_fract_x
_atom_site_fract_y
_atom_site_fract_z
Zr1 0.000 0.000 0.000
In1 0.000 0.000 0.500
B1 0.221 0.250 0.625
# energy of formation	3.5	eV per formula unit

---

No. 19
# PBE BaZrRh2, relaxed
data_BaZrRh2
_chemical_formula_sum 'Ba4 Zr4 Rh8'
_cell_length_a 6.854
_cell_length_b 6.854
_cell_length_c 6.854
_cell_angle_alpha 90.00
_cell_angle_beta 90.00
_cell_angle_gamma 90.00
_space_group_name_H-M_alt 'F -4 3 m'
_space_group_IT_number 216
_space_group_name_Hall 'F -4 2 3'
loop_
_atom_site_label
_atom_site_fract_x
_atom_site_fract_y
_atom_site_fract_z
Ba1 0.000 0.000 0.000
Zr1 0.250 0.250 0.250
Rh1 0.000 0.000 0.500
Rh2 0.250 0.250 0.750
# energy of formation	0.9	eV per formula unit

---

No. 20
# PBE BiSbSe2, relaxed
data_BiSbSe2
_chemical_formula_sum 'Bi3 Sb3 Se6'
_cell_length_a 3.8819
_cell_length_b 3.8819
_cell_length_c 24.8937
_cell_angle_alpha 90.00
_cell_angle_beta 90.00
_cell_angle_gamma 120.00
_space_group_name_H-M_alt 'R 3 m'
_space_group_IT_number 160
_space_group_name_Hall 'R 3 -2"'
loop_
_atom_site_label
_atom_site_fract_x
_atom_site_fract_y
_atom_site_fract_z
Bi1 0.0000 0.0000 0.0000
Sb1 0.0000 0.0000 0.1689
Se1 0.0000 0.0000 0.5781
Se2 0.0000 0.0000 0.7595
# energy relative to the elements, uncorrected	-0.101	eV/atom

---

No. 21
# PBE IrPdO2F, relaxed
data_IrPdO2F
_chemical_formula_sum 'Ir1 Pd1 O2 F1'
_cell_length_a 3.657
_cell_length_b 3.657
_cell_length_c 6.072
_cell_angle_alpha 90.00
_cell_angle_beta 90.00
_cell_angle_gamma 90.00
_space_group_name_H-M_alt 'P 4/m m m'
_space_group_IT_number 123
_space_group_name_Hall '-P 4 2'
loop_
_atom_site_label
_atom_site_fract_x
_atom_site_fract_y
_atom_site_fract_z
Ir1 0.000 0.000 0.000
Pd1 0.500 0.500 0.500
O1 0.000 0.500 0.000
F1 0.000 0.000 0.500
# energy relative to the elements, uncorrected	-0.231	eV/atom

---

No. 22
# PBE Sm8Si3RhI4, relaxed
data_Sm8Si3RhI4
_chemical_formula_sum 'Sm24 Si9 Rh3 I12'
_cell_length_a 8.5501
_cell_length_b 8.5501
_cell_length_c 22.9313
_cell_angle_alpha 90.00
_cell_angle_beta 90.00
_cell_angle_gamma 120.00
_space_group_name_H-M_alt 'R -3 m'
_space_group_IT_number 166
_space_group_name_Hall '-R 3 2"'
loop_
_atom_site_label
_atom_site_fract_x
_atom_site_fract_y
_atom_site_fract_z
Sm1 0.0000 0.0000 0.2323
Sm2 0.0080 0.5040 0.2303
Si1 0.0000 0.5000 0.5000
Rh1 0.0000 0.0000 0.5000
I1 0.0000 0.0000 0.0000
I2 0.0000 0.5000 0.0000
# energy relative to the elements, uncorrected	-0.897	eV/atom

---

No. 23
# PBE TaV3Ga4, relaxed
data_TaV3Ga4
_chemical_formula_sum 'Ta2 V6 Ga8'
_cell_length_a 9.124
_cell_length_b 5.492
_cell_length_c 4.791
_cell_angle_alpha 90.00
_cell_angle_beta 90.00
_cell_angle_gamma 90.00
_space_group_name_H-M_alt 'P m n 21'
_space_group_IT_number 31
_space_group_name_Hall 'P 2ac -2'
loop_
_atom_site_label
_atom_site_fract_x
_atom_site_fract_y
_atom_site_fract_z
Ta1 0.000 0.093 0.000
V1 0.000 0.609 0.030
V2 0.240 0.119 0.336
Ga1 0.000 0.373 0.503
Ga2 0.000 0.849 0.518
Ga3 0.242 0.373 0.830
# energy of formation	-0.7	eV per formula unit

---

No. 24
# PBE Cd2HgRu, relaxed
data_Cd2HgRu
_chemical_formula_sum 'Cd2 Hg1 Ru1'
_cell_length_a 3.023
_cell_length_b 3.023
_cell_length_c 8.673
_cell_angle_alpha 90.00
_cell_angle_beta 90.00
_cell_angle_gamma 90.00
_space_group_name_H-M_alt 'P 4 m m'
_space_group_IT_number 99
_space_group_name_Hall 'P 4 -2'
loop_
_atom_site_label
_atom_site_fract_x
_atom_site_fract_y
_atom_site_fract_z
Cd1 0.000 0.000 0.000
Cd2 0.500 0.500 0.276
Hg1 0.000 0.000 0.555
Ru1 0.500 0.500 0.780
# energy of formation	1.3	eV per formula unit

---

No. 25
# PBE Al6CuNi, relaxed
data_Al6CuNi
_chemical_formula_sum 'Al6 Cu1 Ni1'
_cell_length_a 3.843
_cell_length_b 3.843
_cell_length_c 9.327
_cell_angle_alpha 90.00
_cell_angle_beta 90.00
_cell_angle_gamma 90.00
_space_group_name_H-M_alt 'P 4/m m m'
_space_group_IT_number 123
_space_group_name_Hall '-P 4 2'
loop_
_atom_site_label
_atom_site_fract_x
_atom_site_fract_y
_atom_site_fract_z
Al1 0.000 0.000 0.134
Al2 0.000 0.500 0.344
Cu1 0.500 0.500 0.000
Ni1 0.500 0.500 0.500
# energy of formation	0.1	eV per formula unit